The following is a PBE calculation of a geometry-optimized Dy3YIn3Te8 structure, from Alexandria.

Summary:
The value obtained for the uncorrected formation energy is -1.01 eV per atom. The space-group type is No. 166. The energy comes out at -68.79 eV per formula unit.

a = 9.3664 Å, b = 9.3664 Å, c = 9.3664 Å
α = 55.80°, β = 55.80°, γ = 55.80°
With the nearest neighbours (Å) after each atom.
Fractional coordinates of all 15 atoms:
1 Dy 0.0000 0.5000 0.5000  6 Te 3.08-3.10
2 Dy 0.5000 0.0000 0.5000  6 Te 3.08-3.10
3 Dy 0.5000 0.5000 0.0000  6 Te 3.08-3.10
4 Y 0.0000 0.0000 0.0000  6 Te 3.10
5 In 0.0000 0.0000 0.5000  6 Te 3.32-3.34
6 In 0.0000 0.5000 0.0000  6 Te 3.32-3.34
7 In 0.5000 0.0000 0.0000  6 Te 3.32-3.34
8 Te 0.2425 0.2425 0.7400  2 Dy 3.08, 1 Y 3.10, 2 In 3.34
9 Te 0.2425 0.7400 0.2425  2 Dy 3.08, 1 Y 3.10, 2 In 3.34
10 Te 0.2578 0.2578 0.2578  3 Dy 3.10, 3 In 3.32
11 Te 0.2600 0.7575 0.7575  2 Dy 3.08, 1 Y 3.10, 2 In 3.34
12 Te 0.7400 0.2425 0.2425  2 Dy 3.08, 1 Y 3.10, 2 In 3.34
13 Te 0.7422 0.7422 0.7422  3 Dy 3.10, 3 In 3.32
14 Te 0.7575 0.2600 0.7575  2 Dy 3.08, 1 Y 3.10, 2 In 3.34
15 Te 0.7575 0.7575 0.2600  2 Dy 3.08, 1 Y 3.10, 2 In 3.34